[1]
Material: PmMn2Ge2
Method: DFT, PBE-GGA
State: relaxed

Unit cell a=6.1570 b=6.1570 c=6.1570 alpha=142.19 beta=142.19 gamma=54.55
With the nearest neighbours (Å) after each atom.
Atoms (fractional coordinates):
Pm (0.0000, 0.0000, 0.0000)  8 Ge 3.12, 8 Mn 3.39
Mn (0.2500, 0.7500, 0.5000)  4 Ge 2.44
Mn (0.7500, 0.2500, 0.5000)  4 Ge 2.44
Ge (0.3778, 0.3778, 0.0000)  4 Mn 2.44, 1 Ge 2.67
Ge (0.6222, 0.6222, 0.0000)  4 Mn 2.44, 1 Ge 2.67

Results
N(E_F) = 3.053 states/eV/cell
Volume = 87 Å³/cell
Raw total energy = -6.936 eV per atom

***

[2]
Material: Pm3Mn2Ge4
Method: DFT, PBE-GGA
State: relaxed

Unit cell a=6.0453 b=6.0453 c=8.3599 alpha=107.15 beta=107.15 gamma=40.77
With the nearest neighbours (Å) after each atom.
Atoms (fractional coordinates):
Pm (0.0000, 0.0000, 0.0000)  6 Ge 3.08-3.14
Pm (0.3789, 0.3789, 0.3040)  7 Ge 3.02-3.21, 3 Mn 3.04-3.13
Pm (0.6211, 0.6211, 0.6960)  7 Ge 3.02-3.21, 3 Mn 3.04-3.13
Mn (0.3015, 0.3015, 0.6212)  4 Ge 2.46-2.56
Mn (0.6985, 0.6985, 0.3788)  4 Ge 2.46-2.56
Ge (0.0904, 0.0904, 0.3958)  3 Mn 2.46-2.54
Ge (0.2909, 0.2909, 0.9230)  1 Mn 2.56, 2 Ge 2.77
Ge (0.7091, 0.7091, 0.0770)  1 Mn 2.56, 2 Ge 2.77
Ge (0.9096, 0.9096, 0.6042)  3 Mn 2.46-2.54

Results
N(E_F) = 7.162 states/eV/cell
Volume = 189 Å³/cell
Raw total energy = -6.265 eV per atom

***

[3]
Material: Pm2MnGe3
Method: DFT, PBE-GGA
State: relaxed

Unit cell a=5.8713 b=5.8713 c=7.2896 alpha=127.97 beta=127.97 gamma=42.72
With the nearest neighbours (Å) after each atom.
Atoms (fractional coordinates):
Pm (0.0000, 0.0000, 0.0000)  9 Ge 3.07-3.33, 3 Mn 3.37-3.39
Pm (0.1076, 0.1076, 0.6317)  8 Ge 3.03-3.38, 3 Mn 3.13-3.24
Mn (0.3852, 0.3852, 0.2225)  4 Ge 2.44-2.61
Ge (0.3653, 0.3653, 0.5598)  1 Mn 2.61, 2 Ge 2.68
Ge (0.6726, 0.6726, 0.4105)  1 Mn 2.46, 2 Ge 2.68
Ge (0.7439, 0.7439, 0.0541)  2 Mn 2.44

Results
N(E_F) = 3.732 states/eV/cell
Volume = 128 Å³/cell
Raw total energy = -5.940 eV per atom

***

[4]
Material: Pm2Mn3Ge4
Method: DFT, PBE-GGA
State: relaxed

Unit cell a=8.1440 b=8.1440 c=7.5689 alpha=90.00 beta=90.00 gamma=138.66
With the nearest neighbours (Å) after each atom.
Atoms (fractional coordinates):
Pm (0.1113, 0.8887, 0.9087)  8 Ge 3.05-3.20, 6 Mn 3.24-3.41
Pm (0.3887, 0.6113, 0.4087)  8 Ge 3.05-3.20, 6 Mn 3.24-3.41
Pm (0.6113, 0.3887, 0.5913)  8 Ge 3.05-3.20, 6 Mn 3.24-3.41
Pm (0.8887, 0.1113, 0.0913)  8 Ge 3.05-3.20, 6 Mn 3.24-3.41
Mn (0.0000, 0.0000, 0.5000)  4 Ge 2.50
Mn (0.0351, 0.4649, 0.7500)  5 Ge 2.49-2.64
Mn (0.4649, 0.0351, 0.2500)  5 Ge 2.49-2.64
Mn (0.5000, 0.5000, 0.0000)  4 Ge 2.50
Mn (0.5351, 0.9649, 0.7500)  5 Ge 2.49-2.64
Mn (0.9649, 0.5351, 0.2500)  5 Ge 2.49-2.64
Ge (0.1889, 0.8111, 0.5374)  5 Mn 2.61-2.89
Ge (0.1986, 0.3014, 0.7500)  3 Mn 2.49-2.50
Ge (0.3014, 0.1986, 0.2500)  3 Mn 2.49-2.50
Ge (0.3111, 0.6889, 0.0374)  5 Mn 2.61-2.89
Ge (0.6889, 0.3111, 0.9626)  5 Mn 2.61-2.89
Ge (0.6986, 0.8014, 0.7500)  3 Mn 2.49-2.50
Ge (0.8014, 0.6986, 0.2500)  3 Mn 2.49-2.50
Ge (0.8111, 0.1889, 0.4626)  5 Mn 2.61-2.89

Results
N(E_F) = 11.606 states/eV/cell
Volume = 332 Å³/cell
Raw total energy = -6.584 eV per atom

***

[5]
Material: Pm5MnGe4
Method: DFT, PBE-GGA
State: relaxed

Unit cell a=9.4783 b=9.4783 c=7.7715 alpha=113.31 beta=113.31 gamma=23.91
With the nearest neighbours (Å) after each atom.
Atoms (fractional coordinates):
Pm (0.0000, 0.0000, 0.0000)  4 Ge 3.03
Pm (0.3085, 0.3085, 0.8958)  4 Ge 3.00-3.22
Pm (0.3561, 0.3561, 0.4961)  4 Ge 2.97-3.32, 2 Mn 3.30
Pm (0.6439, 0.6439, 0.5039)  4 Ge 2.97-3.32, 2 Mn 3.30
Pm (0.6915, 0.6915, 0.1042)  4 Ge 3.00-3.22
Mn (0.0000, 0.0000, 0.5000)  6 Ge 2.58-2.59
Ge (0.1339, 0.1339, 0.7857)  1 Mn 2.58, 2 Ge 2.70
Ge (0.4722, 0.4722, 0.2635)  2 Mn 2.59, 2 Ge 2.70
Ge (0.5278, 0.5278, 0.7365)  2 Mn 2.59, 2 Ge 2.70
Ge (0.8661, 0.8661, 0.2143)  1 Mn 2.58, 2 Ge 2.70

Results
N(E_F) = 9.457 states/eV/cell
Volume = 259 Å³/cell
Raw total energy = -5.604 eV per atom

***

[6]
Material: Pm2MnGe4
Method: DFT, PBE-GGA
State: relaxed

Unit cell a=6.1481 b=6.1481 c=6.1481 alpha=121.13 beta=121.13 gamma=88.06
With the nearest neighbours (Å) after each atom.
Atoms (fractional coordinates):
Pm (0.0000, 0.5000, 0.5000)  8 Ge 3.09
Pm (0.5000, 0.0000, 0.5000)  8 Ge 3.09
Mn (0.2506, 0.2506, 0.0000)  4 Ge 2.45
Ge (0.5365, 0.5365, 0.5732)  1 Mn 2.45, 2 Ge 2.58
Ge (0.5365, 0.9633, 0.0000)  1 Mn 2.45, 2 Ge 2.58
Ge (0.9633, 0.5365, 0.0000)  1 Mn 2.45, 2 Ge 2.58
Ge (0.9633, 0.9633, 0.4268)  1 Mn 2.45, 2 Ge 2.58

Results
N(E_F) = 3.155 states/eV/cell
Volume = 161 Å³/cell
Raw total energy = -5.724 eV per atom

***

| no. | formation energy (eV/atom) | magnetization (μB per atom) |
| --- | --- | --- |
| 1 | -0.471 | 0.811 |
| 2 | -0.592 | 0.612 |
| 3 | -0.519 | 0.477 |
| 4 | -0.419 | 0.989 |
| 5 | -0.465 | 0.234 |
| 6 | -0.418 | 0.476 |